Entry 1:
Here is BaH3Rh at its PBEsol-relaxed geometry from Alexandria. Energies are from SCAN.

Unit cell a=3.8635 b=3.8635 c=3.8635 alpha=90.00 beta=90.00 gamma=90.00
Last column: nearest neighbours and their distance in Å.
Space group Pm-3m (No. 221)
Symmetry-distinct sites (fractional):
Ba 0.0000 0.0000 0.0000 [1 per cell]  12 H 2.73
H 0.0000 0.5000 0.5000 [3 per cell]  2 Rh 1.93
Rh 0.5000 0.5000 0.5000 [1 per cell]  6 H 1.93



Entry 2:
Here is TlCrCo2 at its PBEsol-relaxed geometry from Alexandria. Energies are from SCAN.

Unit cell a=8.4625 b=2.8478 c=4.5642 alpha=90.00 beta=102.81 gamma=90.00
Last column: nearest neighbours and their distance in Å.
Space group Cm (No. 8)
Symmetry-distinct sites (fractional):
Tl 0.0000 0.0000 0.0000 [2 per cell]  7 Co 2.60-2.72, 3 Cr 2.82-2.83, 2 Tl 2.85
Cr 0.2647 0.5000 0.3509 [2 per cell]  5 Co 2.28-2.50
Co 0.2401 0.0000 0.7287 [2 per cell]  2 Cr 2.28, 2 Co 2.55
Co 0.4957 0.0000 0.4914 [2 per cell]  3 Cr 2.39-2.50, 3 Co 2.55-2.62, 2 Tl 2.66

Calculated values
- Energy above the lowest structure with this stoichiometry: 0.090 eV per atom
- Calculated formation energy: 0.64 eV/atom



Number 1: VASP energy -17.226 eV per atom, size of the total moment 0.033 μB/atom. Number 2: VASP energy -30.697 eV per atom, size of the total moment 0.334 μB/atom.